Material: LiNiP2O7
Method: DFT, PBE with a Hubbard U
State: relaxed

As for the energy above the lowest structure with this stoichiometry: 40 meV/atom. The symmetry is Pc, No. 7. For the theoretical density, the calculation gives 2.93 g/cm³. The calculation puts the electronic total energy at -6.4081 eV/atom. As for the spin magnetization: 11.58 μB/cell.

Lattice parameters (Å, degrees): 8.308 5.108 13.683 90.00 110.87 90.00
Fractional coordinates of all 44 atoms:
Li (0.000, 0.025, 0.000)
Li (0.000, 0.975, 0.500)
Li (0.438, 0.416, 0.324)
Li (0.438, 0.584, 0.824)
Ni (0.161, 0.018, 0.307)
Ni (0.161, 0.982, 0.807)
Ni (0.711, 0.472, 0.521)
Ni (0.711, 0.528, 0.021)
P (0.124, 0.468, 0.644)
P (0.124, 0.532, 0.144)
P (0.257, 0.481, 0.476)
P (0.257, 0.519, 0.976)
P (0.606, 0.049, 0.867)
P (0.606, 0.951, 0.367)
P (0.728, 0.008, 0.190)
P (0.728, 0.992, 0.690)
O (0.114, 0.174, 0.661)
O (0.114, 0.826, 0.161)
O (0.153, 0.227, 0.438)
O (0.153, 0.773, 0.938)
O (0.160, 0.279, 0.917)
O (0.160, 0.721, 0.417)
O (0.192, 0.378, 0.246)
O (0.192, 0.622, 0.746)
O (0.281, 0.487, 0.097)
O (0.281, 0.513, 0.597)
O (0.425, 0.021, 0.362)
O (0.425, 0.979, 0.862)
O (0.436, 0.454, 0.470)
O (0.436, 0.546, 0.970)
O (0.594, 0.038, 0.250)
O (0.594, 0.962, 0.750)
O (0.644, 0.344, 0.877)
O (0.644, 0.656, 0.377)
O (0.678, 0.213, 0.106)
O (0.678, 0.787, 0.606)
O (0.709, 0.270, 0.646)
O (0.709, 0.730, 0.146)
O (0.745, 0.118, 0.446)
O (0.745, 0.882, 0.946)
O (0.907, 0.032, 0.273)
O (0.907, 0.968, 0.773)
O (0.963, 0.417, 0.061)
O (0.963, 0.583, 0.561)